Record 1
Here is TbTm2S4 after structural relaxation from the Alexandria database. Energies are from GGA-PBE.

Cell: 7.736 7.736 7.736 Å, 119.62 119.30 90.94°
Sites, in units of the cell vectors:
Tb 0.000 0.000 0.000
Tb 0.500 0.000 0.500
Tm 0.000 0.500 0.500
Tm 0.500 0.000 0.000
Tm 0.500 0.500 0.000
Tm 0.500 0.500 0.500
S 0.249 0.254 0.504
S 0.249 0.745 0.996
S 0.258 0.748 0.511
S 0.263 0.252 0.011
S 0.737 0.748 0.989
S 0.742 0.252 0.489
S 0.751 0.255 0.004
S 0.751 0.746 0.496

Results
The space group is No. 74. The distance to the lowest polymorph of the same formula comes out at 0 meV per atom. Its density of states at the Fermi level is 3.31 states/eV per cell. The calculation puts the uncorrected formation energy at -2074 meV per atom.



Record 2
Here is NiTeAu after structural relaxation from the Alexandria database. Energies are from GGA-PBE.

Cell: 6.169 6.169 6.169 Å, 90.00 90.00 90.00°
Sites, in units of the cell vectors:
Ni 0.000 0.000 0.000
Ni 0.000 0.500 0.500
Ni 0.500 0.000 0.500
Ni 0.500 0.500 0.000
Te 0.250 0.250 0.250
Te 0.250 0.750 0.750
Te 0.750 0.250 0.750
Te 0.750 0.750 0.250
Au 0.250 0.250 0.750
Au 0.250 0.750 0.250
Au 0.750 0.250 0.250
Au 0.750 0.750 0.750

Results
The space group is No. 216. Its density of states at the Fermi level is 9.24 states/eV per cell. The calculation puts the uncorrected formation energy at -7 meV per atom.



Record 3
Here is K5Na3Ta3Nb5O24 after structural relaxation from the Alexandria database. Energies are from GGA-PBE.

Cell: 8.048 8.082 8.144 Å, 89.77 89.86 89.90°
Sites, in units of the cell vectors:
K 0.000 0.000 0.000
K 0.000 0.499 0.999
K 0.498 0.999 0.500
K 0.999 0.499 0.500
K 0.999 0.999 0.500
Na 0.504 0.012 0.021
Na 0.505 0.511 0.020
Na 0.508 0.511 0.519
Ta 0.251 0.752 0.254
Ta 0.748 0.750 0.255
Ta 0.750 0.252 0.255
Nb 0.253 0.255 0.256
Nb 0.257 0.256 0.758
Nb 0.257 0.754 0.757
Nb 0.752 0.256 0.757
Nb 0.752 0.756 0.758
O 0.245 0.492 0.740
O 0.246 0.245 0.488
O 0.246 0.991 0.741
O 0.248 0.741 0.488
O 0.248 0.991 0.239
O 0.250 0.242 0.990
O 0.250 0.494 0.237
O 0.250 0.742 0.992
O 0.494 0.243 0.737
O 0.494 0.735 0.737
O 0.495 0.742 0.238
O 0.496 0.241 0.236
O 0.738 0.243 0.992
O 0.739 0.492 0.741
O 0.739 0.494 0.238
O 0.739 0.742 0.992
O 0.739 0.992 0.743
O 0.741 0.741 0.489
O 0.741 0.993 0.239
O 0.742 0.247 0.488
O 0.992 0.242 0.743
O 0.993 0.245 0.239
O 0.993 0.742 0.743
O 0.995 0.743 0.240

Results
The space group is No. 1. Its density of states at the Fermi level is 0.00 states/eV per cell. The calculation puts the uncorrected formation energy at -2511 meV per atom.



Record 4
Here is PuCuNi2 after structural relaxation from the Alexandria database. Energies are from GGA-PBE.

Cell: 8.514 8.514 8.514 Å, 34.57 34.57 34.57°
Sites, in units of the cell vectors:
Pu 0.000 0.000 0.000
Pu 0.139 0.139 0.139
Pu 0.861 0.861 0.861
Cu 0.333 0.333 0.333
Cu 0.500 0.500 0.500
Cu 0.667 0.667 0.667
Ni 0.080 0.585 0.585
Ni 0.415 0.415 0.920
Ni 0.415 0.920 0.415
Ni 0.585 0.080 0.585
Ni 0.585 0.585 0.080
Ni 0.920 0.415 0.415

Results
The space group is No. 166. Its formation energy is -175 meV/atom. The distance to the lowest polymorph of the same formula comes out at 0 meV per atom. Its density of states at the Fermi level is 33.82 states/eV per cell.



Record 5
Here is Li5Ga8Ge after structural relaxation from the Alexandria database. Energies are from GGA-PBE.

Cell: 6.921 6.921 6.921 Å, 115.23 115.23 98.48°
Sites, in units of the cell vectors:
Li 0.000 0.000 0.000
Li 0.222 0.285 0.636
Li 0.414 0.778 0.063
Li 0.649 0.586 0.364
Li 0.715 0.351 0.937
Ga 0.165 0.414 0.048
Ga 0.365 0.116 0.952
Ga 0.458 0.190 0.405
Ga 0.586 0.635 0.751
Ga 0.786 0.053 0.595
Ga 0.810 0.214 0.267
Ga 0.884 0.835 0.249
Ga 0.947 0.542 0.733
Ge 0.250 0.750 0.500

Results
The space group is No. 82. Its formation energy is -145 meV/atom. Its density of states at the Fermi level is 3.60 states/eV per cell.



Record 6
Here is K2VPdW after structural relaxation from the Alexandria database. Energies are from GGA-PBE.

Cell: 6.076 6.076 4.899 Å, 90.00 90.00 90.00°
Sites, in units of the cell vectors:
K 0.000 0.500 0.000
K 0.500 0.000 0.000
V 0.000 0.000 0.500
Pd 0.500 0.500 0.000
W 0.500 0.500 0.500

Results
The space group is No. 123. Its formation energy is 1809 meV/atom. Its density of states at the Fermi level is 4.74 states/eV per cell.



Record 7
Here is CuAg2Ge after structural relaxation from the Alexandria database. Energies are from GGA-PBE.

Cell: 3.288 3.288 6.179 Å, 90.00 90.00 90.00°
Sites, in units of the cell vectors:
Cu 0.000 0.000 0.000
Ag 0.500 0.500 0.234
Ag 0.500 0.500 0.766
Ge 0.000 0.000 0.500

Results
The space group is No. 123. Its formation energy is 162 meV/atom. Its density of states at the Fermi level is 1.32 states/eV per cell.



Record 8
Here is Mg2ZnCdAu after structural relaxation from the Alexandria database. Energies are from GGA-PBE.

Cell: 5.791 4.554 7.687 Å, 90.00 109.74 90.00°
Sites, in units of the cell vectors:
Mg 0.002 0.250 0.340
Mg 0.429 0.250 0.099
Mg 0.571 0.750 0.901
Mg 0.998 0.750 0.660
Zn 0.376 0.750 0.504
Zn 0.624 0.250 0.496
Cd 0.098 0.750 0.120
Cd 0.902 0.250 0.880
Au 0.333 0.250 0.707
Au 0.667 0.750 0.293

Results
The space group is No. 11. Its formation energy is -289 meV/atom. Its density of states at the Fermi level is 2.44 states/eV per cell.



Record 9
Here is Ho2Tm7In3 after structural relaxation from the Alexandria database. Energies are from GGA-PBE.

Cell: 17.728 17.728 3.624 Å, 90.00 90.00 162.35°
Sites, in units of the cell vectors:
Ho 0.173 0.827 0.000
Ho 0.827 0.173 0.000
Tm 0.000 0.000 0.000
Tm 0.090 0.910 0.500
Tm 0.273 0.727 0.000
Tm 0.428 0.572 0.000
Tm 0.572 0.428 0.000
Tm 0.727 0.273 0.000
Tm 0.910 0.090 0.500
In 0.352 0.648 0.500
In 0.500 0.500 0.500
In 0.648 0.352 0.500

Results
The space group is No. 65. Its formation energy is -106 meV/atom. Its density of states at the Fermi level is 16.60 states/eV per cell.



Record 10
Here is MgTeO2F after structural relaxation from the Alexandria database. Energies are from GGA-PBE.

Cell: 4.205 4.205 4.642 Å, 90.00 90.00 90.00°
Sites, in units of the cell vectors:
Mg 0.000 0.000 0.000
Te 0.500 0.500 0.500
O 0.000 0.500 0.500
O 0.500 0.000 0.500
F 0.500 0.500 0.000

Results
The space group is No. 123. Its density of states at the Fermi level is 2.16 states/eV per cell. The calculation puts the uncorrected formation energy at -922 meV per atom.



Record 11
Here is LaRu after structural relaxation from the Alexandria database. Energies are from GGA-PBE.

Cell: 5.657 5.657 5.657 Å, 90.00 90.00 90.00°
Sites, in units of the cell vectors:
La 0.067 0.433 0.567
La 0.433 0.567 0.067
La 0.567 0.067 0.433
La 0.933 0.933 0.933
Ru 0.073 0.927 0.427
Ru 0.427 0.073 0.927
Ru 0.573 0.573 0.573
Ru 0.927 0.427 0.073

Results
The space group is No. 198. Its formation energy is 111 meV/atom. Its density of states at the Fermi level is 8.64 states/eV per cell.



Record 12
Here is La4SbSeI2 after structural relaxation from the Alexandria database. Energies are from GGA-PBE.

Cell: 7.779 4.517 8.081 Å, 90.00 109.09 90.00°
Sites, in units of the cell vectors:
La 0.218 0.000 0.208
La 0.240 0.500 0.782
La 0.760 0.500 0.218
La 0.782 0.000 0.792
Sb 0.500 0.000 0.000
Se 0.000 0.500 0.000
I 0.000 0.000 0.500
I 0.500 0.500 0.500

Results
The space group is No. 10. Its density of states at the Fermi level is 5.31 states/eV per cell. The calculation puts the uncorrected formation energy at -1347 meV per atom.



Please write out number 4 again, unchanged.
Here is PuCuNi2 after structural relaxation from the Alexandria database. Energies are from GGA-PBE.

Cell: 8.514 8.514 8.514 Å, 34.57 34.57 34.57°
Sites, in units of the cell vectors:
Pu 0.000 0.000 0.000
Pu 0.139 0.139 0.139
Pu 0.861 0.861 0.861
Cu 0.333 0.333 0.333
Cu 0.500 0.500 0.500
Cu 0.667 0.667 0.667
Ni 0.080 0.585 0.585
Ni 0.415 0.415 0.920
Ni 0.415 0.920 0.415
Ni 0.585 0.080 0.585
Ni 0.585 0.585 0.080
Ni 0.920 0.415 0.415

Results
The space group is No. 166. Its formation energy is -175 meV/atom. The distance to the lowest polymorph of the same formula comes out at 0 meV per atom. Its density of states at the Fermi level is 33.82 states/eV per cell.